(1)
Entry from Alexandria via LeMat-Bulk: MgBP2O after structural relaxation (PBE).

Symmetry: No. 123

abc: 4.9479 4.9479 3.5614
angles: 90.00 90.00 90.00
With the nearest neighbours (Å) after each atom.
Fractional positions:
P 0.5000 0.0000 0.0000  2 Mg 2.47
B 0.5000 0.5000 0.5000  8 P 3.05
P 0.0000 0.5000 0.0000  2 Mg 2.47
O 0.0000 0.0000 0.5000  2 Mg 1.78
Mg 0.0000 0.0000 0.0000  2 O 1.78

---

(2)
Entry from Alexandria via LeMat-Bulk: Sr3Ca2Ag4 after structural relaxation (PBE).

Symmetry: No. 12

abc: 4.6624 6.3855 10.6548
angles: 94.76 90.00 111.41
With the nearest neighbours (Å) after each atom.
Fractional positions:
Sr 0.3727 0.7454 0.6140  6 Ag 3.40-3.56
Ag 0.0821 0.1641 0.6081  1 Ag 2.88, 2 Ca 3.12
Ca 0.6740 0.3479 0.7831  5 Ag 3.06-3.12
Sr 0.6273 0.2546 0.3860  6 Ag 3.40-3.56
Ag 0.2928 0.5857 0.9284  2 Ag 3.01, 3 Ca 3.06-3.07
Sr 0.0000 0.0000 0.0000  6 Ag 3.43-3.63
Ag 0.7072 0.4143 0.0716  2 Ag 3.01, 3 Ca 3.06-3.07
Ca 0.3260 0.6521 0.2169  5 Ag 3.06-3.12
Ag 0.9179 0.8359 0.3919  1 Ag 2.88, 2 Ca 3.12

---

(3)
Entry from Alexandria via LeMat-Bulk: TcIr2Ru2 after structural relaxation (PBE).

Symmetry: No. 71

abc: 4.0692 4.8040 4.8040
angles: 71.51 64.94 64.94
With the nearest neighbours (Å) after each atom.
Fractional positions:
Ir 0.1917 0.3083 0.3083  1 Ir 2.55, 6 Ru 2.60-2.69
Ru 0.5000 0.2852 0.7148  1 Ru 2.41, 2 Tc 2.59, 6 Ir 2.60-2.69
Ir 0.8083 0.6917 0.6917  1 Ir 2.55, 6 Ru 2.60-2.69
Tc 0.0000 0.0000 0.0000  4 Ru 2.59, 4 Ir 2.89
Ru 0.5000 0.7148 0.2852  1 Ru 2.41, 2 Tc 2.59, 6 Ir 2.60-2.69

---

(4)
Entry from Alexandria via LeMat-Bulk: NdSmYEr after structural relaxation (PBE).

Symmetry: No. 8

abc: 3.7173 5.9519 6.9369
angles: 115.40 74.47 90.00
With the nearest neighbours (Å) after each atom.
Fractional positions:
Y 0.4206 0.1388 0.2776  4 Er 3.51, 2 Sm 3.56-3.58, 2 Nd 3.61-3.64, 2 Y 3.72
Sm 0.1805 0.8840 0.7680  2 Er 3.42-3.44, 4 Nd 3.51-3.52, 2 Y 3.56-3.58, 2 Sm 3.72
Nd 0.6670 0.3988 0.7975  2 Er 3.46-3.48, 4 Sm 3.51-3.52, 2 Y 3.61-3.64, 2 Nd 3.72
Er 0.9178 0.6431 0.2862  2 Sm 3.42-3.44, 2 Nd 3.46-3.48, 4 Y 3.51, 2 Er 3.72

---

(5)
Entry from Alexandria via LeMat-Bulk: AgSnBiSb after structural relaxation (PBE).

Symmetry: No. 216

abc: 5.3240 5.3240 5.3240
angles: 60.00 60.00 60.00
With the nearest neighbours (Å) after each atom.
Fractional positions:
Ag 0.2500 0.2500 0.2500  4 Sn 3.26, 4 Bi 3.26
Sb 0.7500 0.7500 0.7500  4 Bi 3.26, 4 Sn 3.26
Bi 0.0000 0.0000 0.0000  4 Sb 3.26, 4 Ag 3.26
Sn 0.5000 0.5000 0.5000  4 Ag 3.26, 4 Sb 3.26

---

(6)
Entry from Alexandria via LeMat-Bulk: Ir5Br4 after structural relaxation (PBE).

Symmetry: No. 193

abc: 7.6040 7.6040 6.5302
angles: 90.00 90.00 120.00
With the nearest neighbours (Å) after each atom.
Fractional positions:
Br 0.6729 0.0000 0.7500  1 Ir 2.33
Br 0.0000 0.0000 0.5000  8 Br 2.98-3.27, 6 Ir 3.23
Ir 0.3333 0.6667 0.0000  8 Ir 2.92-3.27, 6 Br 3.04
Ir 0.3667 0.0000 0.7500  1 Br 2.33
Br 0.6729 0.6729 0.2500  1 Ir 2.33
Ir 0.0000 0.3667 0.7500  1 Br 2.33
Br 0.0000 0.3271 0.2500  1 Ir 2.33
Ir 0.6333 0.6333 0.7500  1 Br 2.33
Ir 0.0000 0.6333 0.2500  1 Br 2.33
Ir 0.6667 0.3333 0.0000  8 Ir 2.92-3.27, 6 Br 3.04
Ir 0.3667 0.3667 0.2500  1 Br 2.33
Ir 0.6333 0.0000 0.2500  1 Br 2.33
Br 0.0000 0.0000 0.0000  8 Br 2.98-3.27, 6 Ir 3.23
Br 0.0000 0.6729 0.7500  1 Ir 2.33
Br 0.3271 0.3271 0.7500  1 Ir 2.33
Ir 0.3333 0.6667 0.5000  8 Ir 2.92-3.27, 6 Br 3.04
Ir 0.6667 0.3333 0.5000  8 Ir 2.92-3.27, 6 Br 3.04
Br 0.3271 0.0000 0.2500  1 Ir 2.33

---

(7)
Entry from Alexandria via LeMat-Bulk: TaMn after structural relaxation (PBE).

Symmetry: No. 139

abc: 9.1852 9.1852 2.8669
angles: 90.00 90.00 90.00
With the nearest neighbours (Å) after each atom.
Fractional positions:
Mn 0.0000 0.6502 0.5000  4 Mn 2.42, 4 Ta 2.70
Mn 0.6502 0.0000 0.5000  4 Mn 2.42, 4 Ta 2.70
Ta 0.8420 0.1580 0.0000  4 Mn 2.70, 6 Ta 2.79-2.90
Mn 0.0000 0.3498 0.5000  4 Mn 2.42, 4 Ta 2.70
Ta 0.6580 0.6580 0.5000  4 Mn 2.70, 6 Ta 2.79-2.90
Mn 0.5000 0.8498 0.0000  4 Mn 2.42, 4 Ta 2.70
Ta 0.3420 0.6580 0.5000  4 Mn 2.70, 6 Ta 2.79-2.90
Mn 0.8498 0.5000 0.0000  4 Mn 2.42, 4 Ta 2.70
Ta 0.1580 0.8420 0.0000  4 Mn 2.70, 6 Ta 2.79-2.90
Ta 0.8420 0.8420 0.0000  4 Mn 2.70, 6 Ta 2.79-2.90
Mn 0.1502 0.5000 0.0000  4 Mn 2.42, 4 Ta 2.70
Mn 0.5000 0.1502 0.0000  4 Mn 2.42, 4 Ta 2.70
Ta 0.3420 0.3420 0.5000  4 Mn 2.70, 6 Ta 2.79-2.90
Ta 0.6580 0.3420 0.5000  4 Mn 2.70, 6 Ta 2.79-2.90
Mn 0.3498 0.0000 0.5000  4 Mn 2.42, 4 Ta 2.70
Ta 0.1580 0.1580 0.0000  4 Mn 2.70, 6 Ta 2.79-2.90

---

| no. | E_tot (Ry per atom) | magnetization (μB per atom) |
| --- | --- | --- |
| 1 | -0.2648 | 0.00 |
| 2 | -0.1847 | 0.00 |
| 3 | -0.6608 | 0.00 |
| 4 | -0.3678 | 0.00 |
| 5 | -0.2582 | 0.00 |
| 6 | -0.3195 | 0.00 |
| 7 | -0.7568 | 0.00 |